i:
Entry from Alexandria via LeMat-Bulk: crystalline LiAg2Mo at its relaxed geometry (GGA-PBE).

Cell lengths 2.750, 2.750, 8.505 Å; angles 90.00, 90.00, 90.00 degrees
Space group P4/mmm (No. 123)
Unique sites:
1 Li 0.000 0.000 0.000 x1
2 Ag 0.500 0.500 0.238 x2
3 Mo 0.000 0.000 0.500 x1

ii:
Entry from Alexandria via LeMat-Bulk: crystalline LiAg2Mo at its relaxed geometry (GGA-PBE).

Cell lengths 3.143, 4.413, 9.581 Å; angles 90.00, 90.00, 90.00 degrees
Space group Cmm2 (No. 35)
Unique sites:
1 Li 0.000 0.000 0.000 x2
2 Ag 0.000 0.000 0.499 x2
3 Ag 0.000 0.500 0.760 x2
4 Mo 0.000 0.500 0.246 x2

Going by the computed energies, the most stable comes first: i, ii.

i:
Entry from Alexandria via LeMat-Bulk: crystalline LiAgMo at its relaxed geometry (GGA-PBE).

Cell lengths 4.0896, 4.0896, 10.9679 Å; angles 90.00, 90.00, 120.00 degrees
Space group P6_3/mmc (No. 194)
Unique sites:
1 Li 0.3333 0.6667 0.2500 x2
2 Ag 0.0000 0.0000 0.2500 x2
3 Mo 0.0000 0.0000 0.0000 x2

ii:
Entry from Alexandria via LeMat-Bulk: crystalline LiAgMo at its relaxed geometry (GGA-PBE).

Cell lengths 3.194, 4.235, 14.308 Å; angles 90.00, 90.00, 90.00 degrees
Space group Fmm2 (No. 42)
Unique sites:
1 Li 0.000 0.000 0.000 x4
2 Ag 0.000 0.000 0.339 x4
3 Mo 0.000 0.000 0.667 x4

iii:
Entry from Alexandria via LeMat-Bulk: crystalline LiAgMo at its relaxed geometry (GGA-PBE).

Cell lengths 4.5631, 4.5631, 2.6151 Å; angles 90.00, 90.00, 120.00 degrees
Space group P-6m2 (No. 187)
Unique sites:
1 Li 0.0000 0.0000 0.0000 x1
2 Ag 0.3333 0.6667 0.0000 x1
3 Mo 0.6667 0.3333 0.5000 x1

iv:
Entry from Alexandria via LeMat-Bulk: crystalline LiAgMo at its relaxed geometry (GGA-PBE).

Cell lengths 9.393, 4.993, 5.040 Å; angles 90.00, 90.00, 90.00 degrees
Space group Pnma (No. 62)
Unique sites:
1 Li 0.241 0.250 0.003 x4
2 Ag 0.000 0.000 0.500 x4
3 Mo 0.041 0.750 0.000 x4

Going by the computed energies, the most stable comes first: ii, iii, iv, i.

i:
Entry from Alexandria via LeMat-Bulk: crystalline LiAgMo at its relaxed geometry (GGA-PBE).

Cell lengths 4.705, 4.859, 8.363 Å; angles 90.00, 90.00, 90.00 degrees
Space group Pnma (No. 62)
Unique sites:
1 Li 0.158 0.250 0.027 x4
2 Ag 0.168 0.250 0.358 x4
3 Mo 0.120 0.250 0.703 x4

ii:
Entry from Alexandria via LeMat-Bulk: crystalline LiAgMo at its relaxed geometry (GGA-PBE).

Cell lengths 2.612, 4.187, 8.681 Å; angles 90.00, 90.00, 90.00 degrees
Space group Imm2 (No. 44)
Unique sites:
1 Li 0.000 0.000 0.000 x2
2 Ag 0.000 0.000 0.343 x2
3 Mo 0.000 0.000 0.672 x2

Going by the computed energies, the most stable comes first: i, ii.

i:
Entry from Alexandria via LeMat-Bulk: crystalline LiAgMo at its relaxed geometry (GGA-PBE).

Cell lengths 2.665, 2.665, 13.486 Å; angles 90.00, 90.00, 90.00 degrees
Space group I4mm (No. 107)
Unique sites:
1 Li 0.000 0.000 0.000 x2
2 Ag 0.000 0.000 0.659 x2
3 Mo 0.000 0.000 0.332 x2

ii:
Entry from Alexandria via LeMat-Bulk: crystalline LiAgMo at its relaxed geometry (GGA-PBE).

Cell lengths 6.078, 3.290, 9.584 Å; angles 90.00, 90.00, 90.00 degrees
Space group Pnma (No. 62)
Unique sites:
1 Li 0.153 0.250 0.246 x4
2 Ag 0.097 0.250 0.607 x4
3 Mo 0.103 0.250 0.938 x4

Going by the computed energies, the most stable comes first: ii, i.